# 1
Hg6Pd5Pt: optimized geometry, PBE.

The total energy is -2.9512 eV per atom. As for the crystal system: orthorhombic. Its density of states at the Fermi level is 0.271 states/eV/atom.

Cell: 4.3593 7.8435 7.8435 Å, 111.58 106.14 106.14°
Last column: nearest neighbours and their distance in Å.
Element x y z (fractional)
Pd (0.5000, 0.1653, 0.8347)  8 Hg 2.89-2.91, 2 Pt 3.06, 2 Pd 3.08
Pd (0.5000, 0.8347, 0.1653)  8 Hg 2.89-2.91, 2 Pt 3.06, 2 Pd 3.08
Pd (0.5000, 0.5000, 0.5000)  8 Hg 2.89, 4 Pd 3.07
Pd (0.0000, 0.6671, 0.3329)  8 Hg 2.88-2.90, 4 Pd 3.07-3.08
Pd (0.0000, 0.3329, 0.6671)  8 Hg 2.88-2.90, 4 Pd 3.07-3.08
Hg (0.2510, 0.0840, 0.4182)  7 Pd 2.89-2.91, 1 Pt 2.90, 4 Hg 3.06-3.07
Hg (0.7520, 0.2520, 0.2520)  6 Pd 2.88-2.89, 2 Pt 2.91, 4 Hg 3.07
Hg (0.2480, 0.7480, 0.7480)  6 Pd 2.88-2.89, 2 Pt 2.91, 4 Hg 3.07
Hg (0.7490, 0.5818, 0.9160)  7 Pd 2.89-2.91, 1 Pt 2.90, 4 Hg 3.06-3.07
Hg (0.7490, 0.9160, 0.5818)  7 Pd 2.89-2.91, 1 Pt 2.90, 4 Hg 3.06-3.07
Hg (0.2510, 0.4182, 0.0840)  7 Pd 2.89-2.91, 1 Pt 2.90, 4 Hg 3.06-3.07
Pt (0.0000, 0.0000, 0.0000)  8 Hg 2.90-2.91, 4 Pd 3.06

# 2
CsSc2Co: optimized geometry, PBE.

As for the crystal system: trigonal. The energy above the most stable polymorph in this dataset is 0.0 kJ per mole of atoms. Its density of states at the Fermi level is 0.300 states/eV/atom.

Cell: 10.2653 10.2653 10.2653 Å, 21.10 21.10 21.10°
Last column: nearest neighbours and their distance in Å.
Element x y z (fractional)
Sc (0.1250, 0.1250, 0.1250)  3 Co 2.51
Sc (0.8750, 0.8750, 0.8750)  3 Co 2.51
Cs (0.0000, 0.0000, 0.0000)  6 Cs 3.76, 2 Sc 3.76
Co (0.5000, 0.5000, 0.5000)  6 Sc 2.51

# 3
CsRbHfSe3: optimized geometry, PBE.

As for the crystal system: monoclinic. Its density of states at the Fermi level is 0.000 states/eV/atom. The calculation puts the raw formation energy at -1.353 eV/atom.

Cell: 7.2196 8.1104 8.9979 Å, 63.21 84.30 77.28°
Last column: nearest neighbours and their distance in Å.
Element x y z (fractional)
Rb (0.2500, 0.5909, 0.8181)  5 Se 3.32-3.39
Rb (0.7500, 0.4091, 0.1819)  5 Se 3.32-3.39
Se (0.9972, 0.2491, 0.9198)  2 Hf 2.60-2.72
Se (0.4972, 0.1689, 0.0802)  2 Hf 2.60-2.72
Se (0.0028, 0.7509, 0.0802)  2 Hf 2.60-2.72
Se (0.5028, 0.8311, 0.9198)  2 Hf 2.60-2.72
Se (0.2500, 0.7978, 0.4044)  1 Hf 2.51
Se (0.7500, 0.2022, 0.5956)  1 Hf 2.51
Cs (0.2500, 0.2400, 0.5200)  4 Se 3.66-3.89
Cs (0.7500, 0.7600, 0.4800)  4 Se 3.66-3.89
Hf (0.2500, 0.9538, 0.0925)  5 Se 2.51-2.72
Hf (0.7500, 0.0462, 0.9075)  5 Se 2.51-2.72

# 4
Zr4Os2C: optimized geometry, PBE.

The total energy is -9.9025 eV per atom. As for the crystal system: cubic. Its density of states at the Fermi level is 0.473 states/eV/atom.

Cell: 8.8524 8.8524 8.8524 Å, 60.00 60.00 60.00°
Last column: nearest neighbours and their distance in Å.
Element x y z (fractional)
Os (0.4156, 0.7533, 0.4156)  6 Zr 2.72-2.94, 3 Os 2.99
Os (0.8344, 0.8344, 0.4967)  6 Zr 2.72-2.94, 3 Os 2.99
Os (0.4967, 0.8344, 0.8344)  6 Zr 2.72-2.94, 3 Os 2.99
Os (0.7533, 0.4156, 0.4156)  6 Zr 2.72-2.94, 3 Os 2.99
Os (0.8344, 0.8344, 0.8344)  6 Zr 2.72-2.94, 3 Os 2.99
Os (0.4156, 0.4156, 0.7533)  6 Zr 2.72-2.94, 3 Os 2.99
Os (0.8344, 0.4967, 0.8344)  6 Zr 2.72-2.94, 3 Os 2.99
Os (0.4156, 0.4156, 0.4156)  6 Zr 2.72-2.94, 3 Os 2.99
Zr (0.8128, 0.1872, 0.1872)  2 C 2.35
Zr (0.0628, 0.4372, 0.0628)  2 C 2.35
Zr (0.1872, 0.1872, 0.8128)  2 C 2.35
Zr (0.1872, 0.8128, 0.8128)  2 C 2.35
Zr (0.6250, 0.1250, 0.6250)  6 Os 2.72
Zr (0.6250, 0.6250, 0.1250)  6 Os 2.72
Zr (0.4372, 0.0628, 0.4372)  2 C 2.35
Zr (0.4372, 0.4372, 0.0628)  2 C 2.35
Zr (0.4372, 0.0628, 0.0628)  2 C 2.35
Zr (0.1872, 0.8128, 0.1872)  2 C 2.35
Zr (0.0628, 0.0628, 0.4372)  2 C 2.35
Zr (0.8128, 0.8128, 0.1872)  2 C 2.35
Zr (0.8128, 0.1872, 0.8128)  2 C 2.35
Zr (0.0628, 0.4372, 0.4372)  2 C 2.35
Zr (0.1250, 0.6250, 0.6250)  6 Os 2.72
Zr (0.6250, 0.6250, 0.6250)  6 Os 2.72
C (0.1250, 0.6250, 0.1250)  6 Zr 2.35
C (0.1250, 0.1250, 0.6250)  6 Zr 2.35
C (0.1250, 0.1250, 0.1250)  6 Zr 2.35
C (0.6250, 0.1250, 0.1250)  6 Zr 2.35